Here is a relaxed structure of BiIrN2O from the Alexandria database. Energies are from GGA-PBE.

Total energy   -6.32 eV/atom
E_form (uncorrected)   0.547 eV per atom
Symmetry   No. 123

Structure (POSCAR):
```
BiIrN2O
1.0
3.8953 0.0000 0.0000
0.0000 3.8953 0.0000
0.0000 0.0000 4.2316
N Ir Bi O
2 1 1 1
direct
0.0000 0.5000 0.0000
0.5000 0.0000 0.0000
0.0000 0.0000 0.0000
0.5000 0.5000 0.5000
0.0000 0.0000 0.5000
```